TaBe2Pt2: optimized geometry, GGA-PBEsol.

```
data_TaBe2Pt2
_cell_length_a 2.681
_cell_length_b 6.870
_cell_length_c 6.870
_cell_angle_alpha 90.00
_cell_angle_beta 90.00
_cell_angle_gamma 90.00
_space_group_name_H-M_alt 'P 1'
_space_group_IT_number 1
_space_group_name_Hall 'P 1'
loop_
_atom_site_label
_atom_site_type_symbol
_atom_site_fract_x
_atom_site_fract_y
_atom_site_fract_z
_atom_site_occupancy
Ta1 Ta 0.000 0.000 0.000 1
Ta2 Ta 0.000 0.500 0.500 1
Be1 Be 0.000 0.117 0.383 1
Be2 Be 0.000 0.383 0.883 1
Be3 Be 0.000 0.883 0.617 1
Be4 Be 0.000 0.617 0.117 1
Pt1 Pt 0.500 0.824 0.324 1
Pt2 Pt 0.500 0.676 0.824 1
Pt3 Pt 0.500 0.176 0.676 1
Pt4 Pt 0.500 0.324 0.176 1
```

Calculated values
The magnetic moment is 0.00 μB per formula unit. As for the energy relative to the elements: -596 meV/atom. As for the volume: 127 Å³ per cell.